Record 1
## CaSbOs2 (GGA-PBE)

Data for a relaxed CaSbOs2 crystal.

Unit cell a=3.1751 b=3.1751 c=26.3471 alpha=90.00 beta=90.00 gamma=120.00
With the nearest neighbours (Å) after each atom.
Space group R-3m (No. 166, hexagonal axes)
Inequivalent atoms, fractional coordinates:
Ca 0.0000 0.0000 0.0000  6 Os 3.05, 6 Ca 3.18
Sb 0.0000 0.0000 0.5000  6 Os 2.68
Os 0.0000 0.0000 0.2409  3 Sb 2.68

Summary:
Its density of states at the Fermi level is 5.2 states/eV/f.u. Its total moment is 0.00 μB/f.u. The value obtained for the electronic total energy is -76.61 eV/cell.

Record 2
## PuTh2Fe9 (GGA-PBE)

Data for a relaxed PuTh2Fe9 crystal.

Unit cell a=4.9794 b=4.9794 c=25.5080 alpha=90.00 beta=90.00 gamma=120.00
With the nearest neighbours (Å) after each atom.
Space group R-3m (No. 166, hexagonal axes)
Inequivalent atoms, fractional coordinates:
Pu 0.0000 0.0000 0.0000  6 Fe 2.87
Th 0.0000 0.0000 0.1375  9 Fe 2.89-2.97
Fe 0.0000 0.0000 0.3327  6 Fe 2.49-2.51
Fe 0.0000 0.0000 0.5000  6 Fe 2.62
Fe 0.0025 0.5012 0.0803  7 Fe 2.47-2.62

Summary:
The calculation puts the energy relative to the elements at 0.059 eV/atom. Its density of states at the Fermi level is 21.3 states/eV/f.u. Its total moment is 11.22 μB/f.u.

Record 3
## Ce3TlCd2 (GGA-PBE)

Data for a relaxed Ce3TlCd2 crystal.

Unit cell a=4.0771 b=4.0771 c=10.2293 alpha=90.00 beta=90.00 gamma=90.00
With the nearest neighbours (Å) after each atom.
Space group P4/mmm (No. 123)
Inequivalent atoms, fractional coordinates:
Ce 0.0000 0.0000 0.0000  8 Cd 3.34, 2 Ce 3.42
Ce 0.0000 0.0000 0.3343  4 Tl 3.34, 4 Cd 3.36, 2 Ce 3.39-3.42
Tl 0.5000 0.5000 0.5000  8 Ce 3.34, 2 Cd 3.43
Cd 0.5000 0.5000 0.1651  8 Ce 3.34-3.36, 1 Cd 3.38, 1 Tl 3.43

Summary:
The calculation puts the energy relative to the elements at -0.144 eV/atom. Its density of states at the Fermi level is 21.4 states/eV/f.u. Its total moment is 4.05 μB/f.u. The distance to the lowest polymorph of the same formula comes out at 0 meV/atom.

Record 4
## Tl2PbBr (GGA-PBE)

Data for a relaxed Tl2PbBr crystal.

Unit cell a=3.7193 b=5.3545 c=12.8132 alpha=90.00 beta=90.00 gamma=90.00
With the nearest neighbours (Å) after each atom.
Space group Immm (No. 71)
Inequivalent atoms, fractional coordinates:
Tl 0.0000 0.0000 0.2255  4 Tl 3.32, 2 Pb 3.44
Pb 0.0000 0.5000 0.5000  4 Br 3.26, 4 Tl 3.44
Br 0.0000 0.5000 0.0000  4 Pb 3.26

Summary:
Its density of states at the Fermi level is 2.0 states/eV/f.u. Its total moment is 0.00 μB/f.u. The distance to the lowest polymorph of the same formula comes out at 90 meV/atom.

Record 5
## DySbF (GGA-PBE)

Data for a relaxed DySbF crystal.

Unit cell a=3.3295 b=3.3295 c=11.2721 alpha=90.00 beta=90.00 gamma=90.00
With the nearest neighbours (Å) after each atom.
Space group I4mm (No. 107)
Inequivalent atoms, fractional coordinates:
Dy 0.0000 0.0000 0.0000  4 F 2.46
Sb 0.0000 0.0000 0.2933  1 F 3.06, 5 Dy 3.31, 4 Sb 3.33
F 0.0000 0.0000 0.5644  4 Dy 2.46

Summary:
Its density of states at the Fermi level is 1.0 states/eV/f.u. Its total moment is 0.00 μB/f.u. The distance to the lowest polymorph of the same formula comes out at 258 meV/atom.

Record 6
## SrCr2Sn2 (GGA-PBE)

Data for a relaxed SrCr2Sn2 crystal.

Unit cell a=4.8674 b=4.8674 c=9.4809 alpha=90.00 beta=90.00 gamma=90.00
With the nearest neighbours (Å) after each atom.
Space group I4/mmm (No. 139)
Inequivalent atoms, fractional coordinates:
Sr 0.0000 0.0000 0.0000  8 Sn 3.40, 8 Cr 3.56
Cr 0.0000 0.0000 0.4045  1 Cr 1.81
Sn 0.0000 0.5000 0.2500  4 Cr 2.84

Summary:
The calculation puts the energy relative to the elements at 0.103 eV/atom. Its density of states at the Fermi level is 3.2 states/eV/f.u. Its total moment is 0.00 μB/f.u. The distance to the lowest polymorph of the same formula comes out at 0 meV/atom.

Record 7
## Cr3Hg4 (GGA-PBE)

Data for a relaxed Cr3Hg4 crystal.

Unit cell a=3.6467 b=3.6467 c=21.2946 alpha=90.00 beta=90.00 gamma=90.00
With the nearest neighbours (Å) after each atom.
Space group I4/mmm (No. 139)
Inequivalent atoms, fractional coordinates:
Cr 0.0000 0.0000 0.0000  10 Hg 2.98-3.27
Cr 0.0000 0.0000 0.2904  6 Hg 2.84-2.97, 4 Cr 3.10
Hg 0.0000 0.0000 0.1536  5 Cr 2.84-2.91, 4 Hg 3.13
Hg 0.0000 0.0000 0.4298  5 Cr 2.97-2.98, 5 Hg 2.99-3.13

Summary:
The calculation puts the energy relative to the elements at 0.533 eV/atom. Its density of states at the Fermi level is 4.1 states/eV/f.u. Its total moment is 12.59 μB/f.u.

Record 8
## LiTh2Ir9 (GGA-PBE)

Data for a relaxed LiTh2Ir9 crystal.

Unit cell a=5.3346 b=5.3346 c=26.6115 alpha=90.00 beta=90.00 gamma=120.00
With the nearest neighbours (Å) after each atom.
Space group R-3m (No. 166, hexagonal axes)
Inequivalent atoms, fractional coordinates:
Li 0.0000 0.0000 0.0000  18 Ir 3.08-3.43
Th 0.0000 0.0000 0.1341  9 Ir 3.02-3.20
Ir 0.0000 0.0000 0.3323  6 Ir 2.63-2.66
Ir 0.0000 0.0000 0.5000  6 Ir 2.75
Ir 0.0010 0.5005 0.0807  7 Ir 2.63-2.75

Summary:
The calculation puts the energy relative to the elements at -0.393 eV/atom. Its density of states at the Fermi level is 11.8 states/eV/f.u. Its total moment is 0.00 μB/f.u.

Record 9
## CuAsPt2 (GGA-PBE)

Data for a relaxed CuAsPt2 crystal.

Unit cell a=2.9102 b=2.9102 c=25.1592 alpha=90.00 beta=90.00 gamma=120.00
With the nearest neighbours (Å) after each atom.
Space group R-3m (No. 166, hexagonal axes)
Inequivalent atoms, fractional coordinates:
Cu 0.0000 0.0000 0.0000  6 Pt 2.67, 6 Cu 2.91
As 0.0000 0.0000 0.5000  6 Pt 2.71, 6 As 2.91
Pt 0.0000 0.0000 0.2510  3 Cu 2.67, 3 As 2.71, 6 Pt 2.91

Summary:
The calculation puts the energy relative to the elements at -0.042 eV/atom. Its density of states at the Fermi level is 2.0 states/eV/f.u. Its total moment is 0.00 μB/f.u.

Record 10
## EuScTlGa (GGA-PBE)

Data for a relaxed EuScTlGa crystal.

Unit cell a=7.3607 b=7.3607 c=7.3607 alpha=90.00 beta=90.00 gamma=90.00
With the nearest neighbours (Å) after each atom.
Space group F-43m (No. 216)
Inequivalent atoms, fractional coordinates:
Eu 0.0000 0.0000 0.0000  4 Ga 3.19, 4 Tl 3.19
Sc 0.0000 0.0000 0.5000  4 Tl 3.19, 4 Ga 3.19
Tl 0.2500 0.2500 0.2500  4 Sc 3.19, 4 Eu 3.19
Ga 0.2500 0.2500 0.7500  4 Sc 3.19, 4 Eu 3.19

Summary:
The calculation puts the energy relative to the elements at -0.346 eV/atom. Its density of states at the Fermi level is 4.3 states/eV/f.u. Its total moment is 7.15 μB/f.u.

Record 11
## Co3SnCl (GGA-PBE)

Data for a relaxed Co3SnCl crystal.

Unit cell a=4.9156 b=4.9156 c=4.9156 alpha=90.00 beta=90.00 gamma=90.00
With the nearest neighbours (Å) after each atom.
Space group Pm-3m (No. 221)
Inequivalent atoms, fractional coordinates:
Co 0.0000 0.0000 0.5000  2 Sn 2.46
Sn 0.0000 0.0000 0.0000  6 Co 2.46
Cl 0.5000 0.5000 0.5000  12 Co 3.48

Summary:
Its density of states at the Fermi level is 8.2 states/eV/f.u. Its total moment is 6.42 μB/f.u. The distance to the lowest polymorph of the same formula comes out at 669 meV/atom.

Record 12
## Np4TlSe8 (GGA-PBE)

Data for a relaxed Np4TlSe8 crystal.

Unit cell a=14.3997 b=8.3189 c=10.6320 alpha=90.00 beta=132.00 gamma=90.00
With the nearest neighbours (Å) after each atom.
Space group C2/m (No. 12)
Inequivalent atoms, fractional coordinates:
Np 0.0000 0.2477 0.0000  6 Se 2.83-2.84
Np 0.2423 0.0000 0.9860  6 Se 2.82-2.86
Tl 0.0000 0.5000 0.5000  6 Se 3.39-3.40
Se 0.0060 0.5000 0.1858  3 Np 2.84-2.85
Se 0.0159 0.0000 0.1958  3 Np 2.82-2.83
Se 0.2380 0.2571 0.8073  3 Np 2.83-2.86

Summary:
Its density of states at the Fermi level is 36.5 states/eV/f.u. Its total moment is 13.00 μB/f.u. The value obtained for the electronic total energy is -190.48 eV/cell.